Record 1
This record from Alexandria describes a relaxed Cs4SmBr6 crystal. The functional is PBE.

```
Cs4SmBr6
1.0
10.005 0.000 0.000
0.000 10.005 0.000
0.000 0.000 10.290
Cs Sm Br
8 2 12
direct
0.171 0.329 0.250
0.171 0.329 0.750
0.329 0.829 0.250
0.329 0.829 0.750
0.671 0.171 0.250
0.671 0.171 0.750
0.829 0.671 0.250
0.829 0.671 0.750
0.000 0.000 0.000
0.500 0.500 0.500
0.000 0.000 0.282
0.000 0.000 0.718
0.092 0.713 0.000
0.213 0.592 0.500
0.287 0.092 0.000
0.408 0.213 0.500
0.500 0.500 0.218
0.500 0.500 0.782
0.592 0.787 0.500
0.713 0.908 0.000
0.787 0.408 0.500
0.908 0.287 0.000
```

Computed properties:
calculated volume = 1030 Å³/cell
DOS(E_F) = 5.76 states/eV/f.u.
space group = P4/mnc, No. 128
uncorrected energy = -3.34 eV per atom
formation energy (no corrections) = -39.0 kcal/mol of atoms
magnetization = 0.08 μB per atom

***

Record 2
This record from Alexandria describes a relaxed LiIn2Mo crystal. The functional is PBE.

```
LiIn2Mo
1.0
3.095 0.000 0.000
0.000 4.878 0.000
0.000 0.000 4.879
Li In Mo
1 2 1
direct
0.000 0.000 0.000
0.500 0.000 0.501
0.500 0.500 0.002
0.000 0.500 0.502
```

Computed properties:
calculated volume = 74 Å³/cell
DOS(E_F) = 2.13 states/eV/f.u.
space group = Pmm2, No. 25
uncorrected energy = -4.46 eV per atom
magnetization = 0.00 μB per atom
formation energy from the elements = 9.1 kJ/mol of atoms

***

Record 3
This record from Alexandria describes a relaxed CsNdTe crystal. The functional is PBE.

```
CsNdTe
1.0
8.796 0.000 0.000
0.000 4.047 0.000
0.000 0.000 13.219
Cs Nd Te
4 4 4
direct
0.157 0.250 0.071
0.343 0.750 0.571
0.657 0.250 0.429
0.843 0.750 0.929
0.062 0.250 0.351
0.438 0.750 0.851
0.562 0.250 0.149
0.938 0.750 0.649
0.160 0.250 0.783
0.340 0.750 0.283
0.660 0.250 0.717
0.840 0.750 0.217
```

Computed properties:
calculated volume = 471 Å³/cell
DOS(E_F) = 2.80 states/eV/f.u.
space group = Pnma, No. 62
uncorrected energy = -3.54 eV per atom
formation energy (no corrections) = -14.3 kcal/mol of atoms
magnetization = 0.01 μB per atom

***

Record 4
This record from Alexandria describes a relaxed Ba3TbPt2O9 crystal. The functional is PBE.

```
Ba3TbPt2O9
1.0
5.918 0.000 0.000
-2.959 5.125 0.000
0.000 0.000 7.298
Ba Tb Pt O
3 1 2 9
direct
0.000 0.000 0.000
0.333 0.667 0.682
0.667 0.333 0.318
0.000 0.000 0.500
0.333 0.667 0.163
0.667 0.333 0.837
0.000 0.500 0.000
0.176 0.351 0.321
0.176 0.824 0.321
0.351 0.176 0.679
0.500 0.000 0.000
0.500 0.500 0.000
0.649 0.824 0.321
0.824 0.176 0.679
0.824 0.649 0.679
```

Computed properties:
calculated volume = 221 Å³/cell
DOS(E_F) = 14.70 states/eV/f.u.
space group = P-3m1, No. 164
uncorrected energy = -6.40 eV per atom
formation energy (no corrections) = -44.5 kcal/mol of atoms
magnetization = 0.04 μB per atom

***

Record 5
This record from Alexandria describes a relaxed HoCu4Ag crystal. The functional is PBE.

```
HoCu4Ag
1.0
0.000 3.572 3.572
3.572 0.000 3.572
3.572 3.572 0.000
Ho Cu Ag
1 4 1
direct
0.000 0.000 0.000
0.376 0.376 0.376
0.376 0.376 0.873
0.376 0.873 0.376
0.873 0.376 0.376
0.750 0.750 0.750
```

Computed properties:
calculated volume = 91 Å³/cell
DOS(E_F) = 5.94 states/eV/f.u.
space group = F-43m, No. 216
uncorrected energy = -4.20 eV per atom
magnetization = 0.00 μB per atom
formation energy from the elements = -22.0 kJ/mol of atoms

***

Record 6
This record from Alexandria describes a relaxed Na2Cd2Hg crystal. The functional is PBE.

```
Na2Cd2Hg
1.0
5.537 -2.582 0.000
5.537 2.582 0.000
-2.393 0.000 9.082
Na Cd Hg
4 4 2
direct
0.067 0.067 0.361
0.170 0.170 0.049
0.830 0.830 0.951
0.933 0.933 0.639
0.370 0.370 0.404
0.481 0.481 0.144
0.519 0.519 0.856
0.630 0.630 0.596
0.249 0.249 0.702
0.751 0.751 0.298
```

Computed properties:
calculated volume = 260 Å³/cell
DOS(E_F) = 2.06 states/eV/f.u.
space group = C2/m, No. 12
uncorrected energy = -1.09 eV per atom
magnetization = 0.00 μB per atom
formation energy from the elements = -12.9 kJ/mol of atoms

***

Record 7
This record from Alexandria describes a relaxed Cd5InPb2 crystal. The functional is PBE.

```
Cd5InPb2
1.0
6.717 0.000 0.000
0.000 12.910 0.000
0.000 0.000 4.759
Cd In Pb
10 2 4
direct
0.000 0.000 0.000
0.018 0.242 0.000
0.248 0.116 0.500
0.252 0.616 0.500
0.482 0.742 0.000
0.500 0.500 0.000
0.518 0.258 0.000
0.748 0.384 0.500
0.752 0.884 0.500
0.982 0.758 0.000
0.000 0.500 0.000
0.500 0.000 0.000
0.250 0.365 0.500
0.250 0.865 0.500
0.750 0.135 0.500
0.750 0.635 0.500
```

Computed properties:
calculated volume = 413 Å³/cell
DOS(E_F) = 2.49 states/eV/f.u.
space group = Pbam, No. 55
uncorrected energy = -1.79 eV per atom
magnetization = 0.00 μB per atom
formation energy from the elements = 4.7 kJ/mol of atoms

***

Record 8
This record from Alexandria describes a relaxed Ac6Sn5Pd crystal. The functional is PBE.

```
Ac6Sn5Pd
1.0
4.233 -6.094 0.000
4.233 6.094 0.000
-2.090 0.000 8.500
Ac Sn Pd
6 5 1
direct
0.052 0.379 0.719
0.213 0.213 0.206
0.379 0.052 0.719
0.621 0.948 0.281
0.787 0.787 0.794
0.948 0.621 0.281
0.220 0.780 0.000
0.378 0.622 0.500
0.500 0.500 0.000
0.622 0.378 0.500
0.780 0.220 0.000
0.000 0.000 0.500
```

Computed properties:
calculated volume = 439 Å³/cell
DOS(E_F) = 10.39 states/eV/f.u.
space group = C2/m, No. 12
uncorrected energy = -4.72 eV per atom
magnetization = 0.00 μB per atom
formation energy from the elements = -54.4 kJ/mol of atoms